K2LaP | Alexandria via LeMat-Bulk | PBE-GGA | relaxed; energy relative to the elements = -186.6 kJ/mol of formula units; SG = No. 8
1.0
4.458 -0.008 0.044
2.242 3.853 0.044
2.043 1.172 11.500
K La P
2 1 1
Cartesian
6.672 3.828 1.196
6.552 3.759 8.447
4.405 2.527 4.520
2.185 1.254 3.306